# 1
# KTl3In2Cl6

A relaxed KTl3In2Cl6 crystal (PBE, the Alexandria database).

Cell: 7.923 13.713 7.900 Å, 90.00 109.47 90.00°
Space group C2/m (No. 12)
Unique sites:
K1 0.000 0.000 0.000 (multiplicity 2)
Tl1 0.000 0.167 0.500 (multiplicity 4)
Tl2 0.000 0.500 0.500 (multiplicity 2)
In1 0.000 0.333 0.000 (multiplicity 4)
Cl1 0.245 0.165 0.243 (multiplicity 8)
Cl2 0.246 0.000 0.753 (multiplicity 4)

Properties
Its total energy is -0.232 Ry per atom. Its crystal system is monoclinic. The uncorrected formation energy comes out at -1100 meV per atom. The value obtained for the density of states at the Fermi level is 0.000 states/eV per cell. The total magnetization comes out at 0.00 Bohr magnetons per cell.

***

# 2
# KTlInCl3

A relaxed KTlInCl3 crystal (PBE, the Alexandria database).

Cell: 9.587 4.292 9.874 Å, 90.00 106.17 90.00°
Space group P2_1/m (No. 11)
Unique sites:
K1 0.046 0.250 0.280 (multiplicity 2)
Tl1 0.385 0.750 0.652 (multiplicity 2)
In1 0.363 0.750 0.069 (multiplicity 2)
Cl1 0.162 0.250 0.619 (multiplicity 2)
Cl2 0.164 0.250 0.998 (multiplicity 2)
Cl3 0.312 0.750 0.338 (multiplicity 2)

Properties
Its total energy is -0.234 Ry per atom. Its crystal system is monoclinic. The uncorrected formation energy comes out at -1227 meV per atom. The value obtained for the density of states at the Fermi level is 0.000 states/eV per cell. The total magnetization comes out at 0.00 Bohr magnetons per cell.

***

# 3
# K2TmInCl6

A relaxed K2TmInCl6 crystal (PBE, the Alexandria database).

Cell: 7.6822 7.6822 19.9621 Å, 90.00 90.00 120.00°
Space group R3 (No. 146, hexagonal axes)
Unique sites:
K1 0.0000 0.0000 0.0000 (multiplicity 3)
K2 0.0000 0.0000 0.4882 (multiplicity 3)
Tm1 0.0000 0.0000 0.6977 (multiplicity 3)
In1 0.0000 0.0000 0.2095 (multiplicity 3)
Cl1 0.0282 0.4034 0.4343 (multiplicity 9)
Cl2 0.0758 0.6914 0.2825 (multiplicity 9)

Properties
Its total energy is -0.290 Ry per atom. Its crystal system is trigonal. The uncorrected formation energy comes out at -1892 meV per atom. The value obtained for the density of states at the Fermi level is 0.000 states/eV per cell. The total magnetization comes out at 0.00 Bohr magnetons per cell.

***

# 4
# KTmIn2Cl6

A relaxed KTmIn2Cl6 crystal (PBE, the Alexandria database).

Cell: 7.752 7.758 7.894 Å, 60.61 60.60 60.03°
Space group P1 (No. 1)
Unique sites:
K1 0.000 0.000 0.000 (multiplicity 1)
Tm1 0.493 0.493 0.522 (multiplicity 1)
In1 0.285 0.285 0.146 (multiplicity 1)
In2 0.789 0.788 0.635 (multiplicity 1)
Cl1 0.159 0.376 0.777 (multiplicity 1)
Cl2 0.252 0.813 0.310 (multiplicity 1)
Cl3 0.376 0.687 0.777 (multiplicity 1)
Cl4 0.625 0.253 0.310 (multiplicity 1)
Cl5 0.687 0.160 0.777 (multiplicity 1)
Cl6 0.813 0.625 0.311 (multiplicity 1)

Properties
Its total energy is -0.284 Ry per atom. Its crystal system is triclinic. The uncorrected formation energy comes out at -1658 meV per atom. The value obtained for the density of states at the Fermi level is 0.000 states/eV per cell. The total magnetization comes out at 0.00 Bohr magnetons per cell.